The following is a SCAN calculation of a PBEsol-optimized structure of SrIrSe2, from Alexandria via LeMat-Bulk.

a = 5.357 Å, b = 5.357 Å, c = 5.357 Å
α = 138.36°, β = 114.49°, γ = 80.68°
Positions (direct):
1 Sr 0.000 0.000 0.000
2 Ir 0.500 0.500 0.000
3 Se 0.314 0.814 0.500
4 Se 0.686 0.186 0.500

## Properties
Volume (A^3/atom): 22.5
Uncorrected formation energy (eV per atom): -0.92
E_tot (eV/atom): -34.3019
Crystal system: orthorhombic
M_tot (μB per cell): 0.00